# 1
A plane-wave DFT calculation with PBE-GGA was carried out for Sc2In5Pb after structural relaxation.

Results
Calculated volume (A^3/atom): 24.1
Energy relative to the elements (eV per atom): -0.253
E_tot (Ha/atom): -0.1474
Space-group type: C2/m (12)
Theoretical density (Mg/m³): 7.51
Density of states at the Fermi level (states/eV/atom): 0.53

Cell: 6.386 6.386 6.514 Å, 119.15 119.15 89.89°
Atoms (fractional coordinates):
Sc: 0.000 0.500 0.000
Sc: 0.500 0.000 0.000
In: 0.000 0.000 0.000
In: 0.000 0.000 0.500
In: 0.000 0.500 0.500
In: 0.500 0.000 0.500
In: 0.500 0.500 0.500
Pb: 0.500 0.500 0.000

***

# 2
A plane-wave DFT calculation with PBE-GGA was carried out for ScInPb after structural relaxation.

Results
Calculated volume (A^3/atom): 30.2
Energy relative to the elements (eV per atom): 0.111
E_tot (Ha/atom): -0.1525
Space-group type: Fddd (70)
Theoretical density (Mg/m³): 6.74
Density of states at the Fermi level (states/eV/atom): 0.97

Cell: 9.264 8.575 7.112 Å, 71.70 61.50 46.80°
Atoms (fractional coordinates):
Sc: 0.054 0.696 0.696
Sc: 0.304 0.946 0.946
Sc: 0.696 0.054 0.054
Sc: 0.946 0.304 0.304
In: 0.051 0.051 0.699
In: 0.301 0.301 0.949
In: 0.699 0.699 0.051
In: 0.949 0.949 0.301
Pb: 0.000 0.500 0.500
Pb: 0.500 0.000 0.500
Pb: 0.500 0.500 0.000
Pb: 0.500 0.500 0.500

***

# 3
A plane-wave DFT calculation with PBE-GGA was carried out for ScIn2Pb after structural relaxation.

Results
Calculated volume (A^3/atom): 24.9
Energy relative to the elements (eV per atom): -0.199
E_tot (Ha/atom): -0.1499
Space-group type: I-4m2 (119)
Theoretical density (Mg/m³): 8.05
Density of states at the Fermi level (states/eV/atom): 0.67

Cell: 5.862 5.862 5.862 Å, 134.93 134.93 65.64°
Atoms (fractional coordinates):
Sc: 0.000 0.000 0.000
In: 0.250 0.750 0.500
In: 0.500 0.500 0.000
Pb: 0.750 0.250 0.500

***

# 4
A plane-wave DFT calculation with PBE-GGA was carried out for ScIn2Pb after structural relaxation.

Results
Calculated volume (A^3/atom): 25.4
Energy relative to the elements (eV per atom): -0.170
E_tot (Ha/atom): -0.1488
Space-group type: C2/m (12)
Theoretical density (Mg/m³): 7.87
Density of states at the Fermi level (states/eV/atom): 0.57

Cell: 5.640 5.640 3.457 Å, 90.28 90.28 112.40°
Atoms (fractional coordinates):
Sc: 0.000 0.000 0.000
In: 0.000 0.500 0.500
In: 0.500 0.000 0.500
Pb: 0.500 0.500 0.000

***

# 5
A plane-wave DFT calculation with PBE-GGA was carried out for ScIn2Pb2 after structural relaxation.

Results
Calculated volume (A^3/atom): 28.0
Energy relative to the elements (eV per atom): 0.026
E_tot (Ha/atom): -0.1403
Space-group type: P4/mbm (127)
Theoretical density (Mg/m³): 8.18
Density of states at the Fermi level (states/eV/atom): 0.67

Cell: 8.024 8.024 4.342 Å, 90.00 90.00 90.00°
Atoms (fractional coordinates):
Sc: 0.000 0.000 0.000
Sc: 0.500 0.500 0.000
In: 0.134 0.366 0.000
In: 0.366 0.866 0.000
In: 0.634 0.134 0.000
In: 0.866 0.634 0.000
Pb: 0.168 0.668 0.500
Pb: 0.332 0.168 0.500
Pb: 0.668 0.832 0.500
Pb: 0.832 0.332 0.500

***

# 6
A plane-wave DFT calculation with PBE-GGA was carried out for ScIn2Pb after structural relaxation.

Results
Calculated volume (A^3/atom): 26.5
Energy relative to the elements (eV per atom): -0.109
E_tot (Ha/atom): -0.1466
Space-group type: P4mm (99)
Theoretical density (Mg/m³): 7.54
Density of states at the Fermi level (states/eV/atom): 0.98

Cell: 3.356 3.356 9.417 Å, 90.00 90.00 90.00°
Atoms (fractional coordinates):
Sc: 0.000 0.000 0.000
In: 0.000 0.000 0.478
In: 0.500 0.500 0.217
Pb: 0.500 0.500 0.767

***

# 7
A plane-wave DFT calculation with PBE-GGA was carried out for ScInPb2Se5 after structural relaxation.

Results
Uncorrected formation energy (meV per atom): -848
Calculated volume (A^3/atom): 27.8
E_tot (Ha/atom): -0.1696
Space-group type: Cmc2_1 (36)
Theoretical density (Mg/m³): 6.44

Cell: 9.348 9.348 13.462 Å, 90.00 90.00 154.87°
Atoms (fractional coordinates):
Sc: 0.206 0.794 0.500
Sc: 0.794 0.206 0.000
In: 0.447 0.553 0.909
In: 0.553 0.447 0.409
Pb: 0.129 0.871 0.137
Pb: 0.130 0.870 0.788
Pb: 0.870 0.130 0.288
Pb: 0.871 0.129 0.637
Se: 0.050 0.950 0.531
Se: 0.290 0.710 0.139
Se: 0.305 0.695 0.861
Se: 0.353 0.647 0.485
Se: 0.486 0.514 0.243
Se: 0.514 0.486 0.743
Se: 0.647 0.353 0.985
Se: 0.695 0.305 0.361
Se: 0.710 0.290 0.639
Se: 0.950 0.050 0.031

***

# 8
A plane-wave DFT calculation with PBE-GGA was carried out for SrScIn2Pb after structural relaxation.

Results
Calculated volume (A^3/atom): 34.7
Energy relative to the elements (eV per atom): -0.057
E_tot (Ha/atom): -0.1285
Space-group type: P4/mmm (123)
Theoretical density (Mg/m³): 5.46
Density of states at the Fermi level (states/eV/atom): 1.44

Cell: 5.572 5.572 5.580 Å, 90.00 90.00 90.00°
Atoms (fractional coordinates):
Sr: 0.000 0.000 0.000
Sc: 0.500 0.500 0.500
In: 0.000 0.500 0.500
In: 0.500 0.000 0.500
Pb: 0.500 0.500 0.000

***

# 9
A plane-wave DFT calculation with PBE-GGA was carried out for ScInTePb2 after structural relaxation.

Results
Uncorrected formation energy (meV per atom): 392
Calculated volume (A^3/atom): 35.8
E_tot (Ha/atom): -0.1299
Space-group type: P4/mmm (123)
Theoretical density (Mg/m³): 6.52
Density of states at the Fermi level (states/eV/atom): 0.57

Cell: 5.657 5.657 5.586 Å, 90.00 90.00 90.00°
Atoms (fractional coordinates):
Sc: 0.000 0.000 0.000
In: 0.000 0.000 0.500
Te: 0.500 0.500 0.000
Pb: 0.000 0.500 0.500
Pb: 0.500 0.000 0.500

***

# 10
A plane-wave DFT calculation with PBE-GGA was carried out for ScTi2InPb after structural relaxation.

Results
Calculated volume (A^3/atom): 29.2
Energy relative to the elements (eV per atom): 1.003
E_tot (Ha/atom): -0.1731
Space-group type: P4/mmm (123)
Theoretical density (Mg/m³): 5.26
Density of states at the Fermi level (states/eV/atom): 1.47

Cell: 5.115 5.115 5.581 Å, 90.00 90.00 90.00°
Atoms (fractional coordinates):
Sc: 0.000 0.000 0.000
Ti: 0.000 0.500 0.500
Ti: 0.500 0.000 0.500
In: 0.500 0.500 0.500
Pb: 0.500 0.500 0.000

***

# 11
A plane-wave DFT calculation with PBE-GGA was carried out for TmScInPb after structural relaxation.

Results
Calculated volume (A^3/atom): 25.1
Energy relative to the elements (eV per atom): -0.373
E_tot (Ha/atom): -0.1722
Space-group type: I-4m2 (119)
Theoretical density (Mg/m³): 8.87
Density of states at the Fermi level (states/eV/atom): 0.71

Cell: 5.563 5.563 5.563 Å, 129.34 129.34 74.46°
Atoms (fractional coordinates):
Tm: 0.000 0.000 0.000
Sc: 0.500 0.500 0.000
In: 0.750 0.250 0.500
Pb: 0.250 0.750 0.500

***

# 12
A plane-wave DFT calculation with PBE-GGA was carried out for TmScInPb after structural relaxation.

Results
Calculated volume (A^3/atom): 25.4
Energy relative to the elements (eV per atom): -0.321
E_tot (Ha/atom): -0.1703
Space-group type: F-43m (216)
Theoretical density (Mg/m³): 8.77
Density of states at the Fermi level (states/eV/atom): 0.99

Cell: 5.236 5.236 5.236 Å, 60.00 60.00 60.00°
Atoms (fractional coordinates):
Tm: 0.000 0.000 0.000
Sc: 0.500 0.500 0.500
In: 0.250 0.250 0.250
Pb: 0.750 0.750 0.750